# GGA-PBE Hf3ZrZn, optimized geometry
data_Hf3ZrZn
_chemical_formula_sum 'Hf3 Zr1 Zn1'
_symmetry_space_group_name_H-M 'P m -3 m'
_symmetry_Int_Tables_number 221
_symmetry_space_group_name_Hall '-P 4 2 3'
_cell_length_a 5.1080
_cell_length_b 5.1080
_cell_length_c 5.1080
_cell_angle_alpha 90.00
_cell_angle_beta 90.00
_cell_angle_gamma 90.00
loop_
_atom_site_label
_atom_site_fract_x
_atom_site_fract_y
_atom_site_fract_z
Hf1 0.0000 0.0000 0.5000
Zr1 0.0000 0.0000 0.0000
Zn1 0.5000 0.5000 0.5000
# Energy relative to the elements ... 1.32 eV/atom
# Crystal system ... cubic
# Volume ... 133.28 Å³/f.u.

=====

# GGA-PBE NdCr2H7, optimized geometry
data_NdCr2H7
_chemical_formula_sum 'Nd2 Cr4 H14'
_symmetry_space_group_name_H-M 'C m m m'
_symmetry_Int_Tables_number 65
_symmetry_space_group_name_Hall '-C 2 2'
_cell_length_a 5.1573
_cell_length_b 9.3854
_cell_length_c 3.3999
_cell_angle_alpha 90.00
_cell_angle_beta 90.00
_cell_angle_gamma 90.00
loop_
_atom_site_label
_atom_site_fract_x
_atom_site_fract_y
_atom_site_fract_z
Nd1 0.0000 0.0000 0.0000
Cr1 0.0000 0.3173 0.5000
H1 0.0000 0.3609 0.0000
H2 0.0000 0.5000 0.5000
H3 0.1727 0.1511 0.5000
# Crystal system ... orthorhombic
# Volume ... 82.28 Å³/f.u.
# E ... -48.61 eV/f.u.

=====

# GGA-PBE AcCe2Se3, optimized geometry
data_AcCe2Se3
_chemical_formula_sum 'Ac2 Ce4 Se6'
_symmetry_space_group_name_H-M 'I m m m'
_symmetry_Int_Tables_number 71
_symmetry_space_group_name_Hall '-I 2 2'
_cell_length_a 4.2860
_cell_length_b 6.1019
_cell_length_c 12.9260
_cell_angle_alpha 90.00
_cell_angle_beta 90.00
_cell_angle_gamma 90.00
loop_
_atom_site_label
_atom_site_fract_x
_atom_site_fract_y
_atom_site_fract_z
Ac1 0.0000 0.0000 0.0000
Ce1 0.0000 0.0000 0.3362
Se1 0.0000 0.5000 0.0000
Se2 0.0000 0.5000 0.3246
# Crystal system ... orthorhombic
# Raw formation energy ... -1.810 eV/atom
# Volume ... 169.03 Å³/f.u.

=====

# GGA-PBE TaRu2Au, optimized geometry
data_TaRu2Au
_chemical_formula_sum 'Ta1 Ru2 Au1'
_symmetry_space_group_name_H-M 'P m m 2'
_symmetry_Int_Tables_number 25
_symmetry_space_group_name_Hall 'P 2 -2'
_cell_length_a 2.8878
_cell_length_b 3.8929
_cell_length_c 5.6472
_cell_angle_alpha 90.00
_cell_angle_beta 90.00
_cell_angle_gamma 90.00
loop_
_atom_site_label
_atom_site_fract_x
_atom_site_fract_y
_atom_site_fract_z
Ta1 0.0000 0.0000 0.0000
Ru1 0.0000 0.0000 0.5480
Ru2 0.5000 0.5000 0.7562
Au1 0.5000 0.5000 0.2737
# Energy relative to the elements ... -0.03 eV/atom
# Crystal system ... orthorhombic
# Volume ... 63.49 Å³/f.u.

=====

# GGA-PBE PmYInGe, optimized geometry
data_PmYInGe
_chemical_formula_sum 'Pm4 Y4 In4 Ge4'
_symmetry_space_group_name_H-M 'F -4 3 m'
_symmetry_Int_Tables_number 216
_symmetry_space_group_name_Hall 'F -4 2 3'
_cell_length_a 7.4522
_cell_length_b 7.4522
_cell_length_c 7.4522
_cell_angle_alpha 90.00
_cell_angle_beta 90.00
_cell_angle_gamma 90.00
loop_
_atom_site_label
_atom_site_fract_x
_atom_site_fract_y
_atom_site_fract_z
Pm1 0.0000 0.0000 0.0000
Y1 0.0000 0.0000 0.5000
In1 0.2500 0.2500 0.7500
Ge1 0.2500 0.2500 0.2500
# Energy relative to the elements ... -0.50 eV/atom
# Crystal system ... cubic
# Volume ... 103.46 Å³/f.u.

=====

# GGA-PBE Tb2ErZrAs4, optimized geometry
data_Tb2ErZrAs4
_chemical_formula_sum 'Tb2 Er1 Zr1 As4'
_symmetry_space_group_name_H-M 'P 1 2/m 1'
_symmetry_Int_Tables_number 10
_symmetry_space_group_name_Hall '-P 2y'
_cell_length_a 7.0069
_cell_length_b 4.0437
_cell_length_c 7.0103
_cell_angle_alpha 90.00
_cell_angle_beta 109.30
_cell_angle_gamma 90.00
loop_
_atom_site_label
_atom_site_fract_x
_atom_site_fract_y
_atom_site_fract_z
Tb1 0.0000 0.0000 0.0000
Tb2 0.5000 0.5000 0.0000
Er1 0.0000 0.5000 0.5000
Zr1 0.5000 0.0000 0.5000
As1 0.2531 0.0000 0.7419
As2 0.2592 0.5000 0.2617
# Energy relative to the elements ... -1.43 eV/atom
# Crystal system ... monoclinic
# Volume ... 187.46 Å³/f.u.